(1)
Density functional theory data (PBE+U) for a relaxed structure of Cs2ZnCoO4.

The structure belongs to space group Fddd (No. 70, origin choice 2); the cell edges are 5.067, 12.522 and 22.007 Å and the angles 90.00°, 90.00° and 90.00°. The inequivalent atoms are Cs at (0.125, 0.125, 0.299), Zn at (0.125, 0.125, 0.125), Co at (0.125, 0.125, 0.625) and O at (0.101, 0.292, 0.831).

For the electronic total energy, the calculation gives -4.67 eV/atom.

=====

(2)
Density functional theory data (PBE+U) for a relaxed structure of VCrPO2.

The structure belongs to space group P4/mmm (No. 123); the cell edges are 3.681, 3.681 and 5.174 Å and the angles 90.00°, 90.00° and 90.00°. The inequivalent atoms are V at (0.000, 0.000, 0.000), Cr at (0.500, 0.500, 0.500), P at (0.000, 0.000, 0.500) and O at (0.000, 0.500, 0.000).

The calculation puts the density of states at the Fermi level at 1.90 states/eV/f.u. As for the offset from the most stable computed form: 0.000 eV/atom.